# 1
Rb3Ce3HgSe8: relaxed, PBE-GGA.

Values from the calculation:
- crystal system = monoclinic
- VASP energy (Ha/atom) = -0.170
- V (A^3/atom) = 34.34
- N(E_F) (states/eV/cell) = 21.82

CIF file:
```
data_Rb3Ce3HgSe8
_cell_length_a 14.372
_cell_length_b 8.948
_cell_length_c 9.247
_cell_angle_alpha 90.00
_cell_angle_beta 119.96
_cell_angle_gamma 90.00
_space_group_name_H-M_alt 'C 1 2/m 1'
_space_group_IT_number 12
loop_
_space_group_symop_operation_xyz
'x,y,z'
'-x,-y,-z'
'-x,y,-z'
'x,-y,z'
'x+1/2,y+1/2,z'
'-x+1/2,-y+1/2,-z'
'-x+1/2,y+1/2,-z'
'x+1/2,-y+1/2,z'
loop_
_atom_site_label
_atom_site_type_symbol
_atom_site_fract_x
_atom_site_fract_y
_atom_site_fract_z
Rb1 Rb 0.000 0.000 0.000
Rb2 Rb 0.250 0.250 0.000
Ce1 Ce 0.000 0.500 0.500
Ce2 Ce 0.250 0.250 0.500
Hg1 Hg 0.000 0.000 0.500
Se1 Se 0.026 0.281 0.293
Se2 Se 0.209 0.000 0.679
Se3 Se 0.235 0.500 0.698
```

***

# 2
La2ScTa: relaxed, PBE-GGA.

Values from the calculation:
- crystal system = cubic
- VASP energy (Ha/atom) = -0.240
- formation enthalpy at 0 K (eV per atom) = 0.48
- V (A^3/atom) = 26.75
- N(E_F) (states/eV/cell) = 35.90
- polymorph energy (0 for the lowest one) (eV/atom) = 0.217

CIF file:
```
data_La2ScTa
_cell_length_a 7.536
_cell_length_b 7.536
_cell_length_c 7.536
_cell_angle_alpha 90.00
_cell_angle_beta 90.00
_cell_angle_gamma 90.00
_space_group_name_H-M_alt 'F -4 3 m'
_space_group_IT_number 216
_space_group_name_Hall 'F -4 2 3'
loop_
_atom_site_label
_atom_site_type_symbol
_atom_site_fract_x
_atom_site_fract_y
_atom_site_fract_z
La1 La 0.000 0.000 0.000
La2 La 0.250 0.250 0.250
Sc1 Sc 0.000 0.000 0.500
Ta1 Ta 0.250 0.250 0.750
```

***

# 3
SrNiSn: relaxed, PBE-GGA.

Values from the calculation:
- crystal system = monoclinic
- VASP energy (Ha/atom) = -0.149
- formation enthalpy at 0 K (eV per atom) = -0.24
- V (A^3/atom) = 26.38
- N(E_F) (states/eV/cell) = 5.64

CIF file:
```
data_SrNiSn
_cell_length_a 4.542
_cell_length_b 4.386
_cell_length_c 7.946
_cell_angle_alpha 90.00
_cell_angle_beta 90.19
_cell_angle_gamma 90.00
_space_group_name_H-M_alt 'P 1 21/m 1'
_space_group_IT_number 11
loop_
_space_group_symop_operation_xyz
'x,y,z'
'-x,-y,-z'
'-x,y+1/2,-z'
'x,-y+1/2,z'
loop_
_atom_site_label
_atom_site_type_symbol
_atom_site_fract_x
_atom_site_fract_y
_atom_site_fract_z
Sr1 Sr 0.001 0.250 0.212
Ni1 Ni 0.500 0.250 0.934
Sn1 Sn 0.497 0.250 0.614
```

***

# 4
Sr2Os: relaxed, PBE-GGA.

Values from the calculation:
- crystal system = trigonal
- VASP energy (Ha/atom) = -0.146
- formation enthalpy at 0 K (eV per atom) = 0.89
- V (A^3/atom) = 33.08
- N(E_F) (states/eV/cell) = 3.13

CIF file:
```
data_Sr2Os
_cell_length_a 3.7733
_cell_length_b 3.7733
_cell_length_c 8.0493
_cell_angle_alpha 90.00
_cell_angle_beta 90.00
_cell_angle_gamma 120.00
_space_group_name_H-M_alt 'P -3 m 1'
_space_group_IT_number 164
_space_group_name_Hall '-P 3 2"'
loop_
_atom_site_label
_atom_site_type_symbol
_atom_site_fract_x
_atom_site_fract_y
_atom_site_fract_z
Sr1 Sr 0.3333 0.6667 0.2564
Os1 Os 0.0000 0.0000 0.0000
```

***

no.,total moment (μB per atom)
1,0.074
2,0.265
3,0.000
4,0.000